# CeFe4Cu3O12

CeFe4Cu3O12 after structural relaxation (PBE+U, Alexandria via LeMat-Bulk).

Summary:
E_tot = -6.392 eV per atom
crystal system = cubic
DOS at the Fermi energy = 7.26 states/eV/cell
space group = No. 204

Cell: 6.484 6.484 6.484 Å, 109.47 109.47 109.47°
Fractional positions:
Ce (0.000, 0.000, 0.000)
Fe (0.000, 0.000, 0.500)
Fe (0.000, 0.500, 0.000)
Fe (0.500, 0.000, 0.000)
Fe (0.500, 0.500, 0.500)
Cu (0.000, 0.500, 0.500)
Cu (0.500, 0.000, 0.500)
Cu (0.500, 0.500, 0.000)
O (0.140, 0.305, 0.835)
O (0.165, 0.469, 0.305)
O (0.165, 0.860, 0.695)
O (0.305, 0.165, 0.469)
O (0.305, 0.835, 0.140)
O (0.469, 0.305, 0.165)
O (0.531, 0.695, 0.835)
O (0.695, 0.165, 0.860)
O (0.695, 0.835, 0.531)
O (0.835, 0.140, 0.305)
O (0.835, 0.531, 0.695)
O (0.860, 0.695, 0.165)